No. 1
Computed, not measured: La3MoBr after structural relaxation at the PBE level of DFT.

Unit cell a=5.5764 b=5.5764 c=5.5764 alpha=90.00 beta=90.00 gamma=90.00
Closest atoms and distances in Å follow each position.
Atoms (fractional coordinates):
La  0.0000  0.0000  0.5000  2 Mo 2.79
La  0.0000  0.5000  0.0000  2 Mo 2.79
La  0.5000  0.0000  0.0000  2 Mo 2.79
Mo  0.0000  0.0000  0.0000  6 La 2.79
Br  0.5000  0.5000  0.5000  12 La 3.94

Output
volume = 173.4 Å³ per cell
relative energy among the computed polymorphs = 0 meV/atom
N(E_F) = 7.83 states/eV/f.u.
ΔE_f (raw) = -0.025 eV/atom
total energy = -27.41 eV per formula unit
space-group type = Pm-3m



No. 2
Computed, not measured: LaMo3Br after structural relaxation at the PBE level of DFT.

Unit cell a=4.7641 b=4.7641 c=4.7641 alpha=90.00 beta=90.00 gamma=90.00
Closest atoms and distances in Å follow each position.
Atoms (fractional coordinates):
La  0.0000  0.0000  0.0000  12 Mo 3.37
Mo  0.0000  0.5000  0.5000  2 Br 2.38
Mo  0.5000  0.0000  0.5000  2 Br 2.38
Mo  0.5000  0.5000  0.0000  2 Br 2.38
Br  0.5000  0.5000  0.5000  6 Mo 2.38

Output
volume = 108.1 Å³ per cell
relative energy among the computed polymorphs = 0 meV/atom
N(E_F) = 3.03 states/eV/f.u.
ΔE_f (raw) = 1.179 eV/atom
total energy = -33.20 eV per formula unit
space-group type = Pm-3m



No. 3
Computed, not measured: LaMoBr after structural relaxation at the PBE level of DFT.

Unit cell a=4.6589 b=4.6589 c=4.6589 alpha=60.00 beta=60.00 gamma=60.00
Closest atoms and distances in Å follow each position.
Atoms (fractional coordinates):
La  0.0000  0.0000  0.0000  4 Mo 2.85
Mo  0.2500  0.2500  0.2500  4 La 2.85, 4 Br 2.85
Br  0.5000  0.5000  0.5000  4 Mo 2.85

Output
volume = 71.5 Å³ per cell
relative energy among the computed polymorphs = 376 meV/atom
N(E_F) = 4.96 states/eV/f.u.
ΔE_f (raw) = 0.604 eV/atom
total energy = -15.62 eV per formula unit
space-group type = F-43m